# HoMg2Zn2Ga2

Crystalline HoMg2Zn2Ga2 at its relaxed geometry (PBE, Alexandria via LeMat-Bulk).

Formation energy, eV per formula unit: -2.3

Lattice parameters (Å, degrees): 8.5435 8.5435 8.5435 29.82 29.82 29.82
With the nearest neighbours (Å) after each atom.
Atoms (fractional coordinates):
Ho (0.0000, 0.0000, 0.0000)  6 Zn 3.06, 6 Ga 3.15, 2 Mg 3.27
Mg (0.1337, 0.1337, 0.1337)  4 Ga 2.90-3.02, 3 Zn 2.98, 3 Mg 3.01
Mg (0.8663, 0.8663, 0.8663)  4 Ga 2.90-3.02, 3 Zn 2.98, 3 Mg 3.01
Zn (0.4034, 0.4034, 0.4034)  3 Ga 2.54
Zn (0.5966, 0.5966, 0.5966)  3 Ga 2.54
Ga (0.2570, 0.2570, 0.2570)  3 Zn 2.54
Ga (0.7430, 0.7430, 0.7430)  3 Zn 2.54

---

# Si2BI

Crystalline Si2BI at its relaxed geometry (PBE, Alexandria via LeMat-Bulk).

Raw formation energy, eV per atom: 0.469
Polymorph energy (0 for the lowest one), kJ/mol of atoms: 5.1

Lattice parameters (Å, degrees): 3.5118 3.9120 6.6674 95.22 104.97 90.02
With the nearest neighbours (Å) after each atom.
Atoms (fractional coordinates):
Si (0.0000, 0.0000, 0.0000)  2 B 2.00
Si (0.4015, 0.2908, 0.7994)  2 B 2.02-2.12
B (0.4536, 0.7934, 0.9053)  4 Si 2.00-2.12
I (0.1842, 0.3382, 0.3789)  2 Si 2.66-2.73

---

# U2VSi4Pt3

Crystalline U2VSi4Pt3 at its relaxed geometry (PBE, Alexandria via LeMat-Bulk).

Raw formation energy, eV per atom: -0.697

Lattice parameters (Å, degrees): 4.1744 4.1744 9.9474 90.00 90.00 90.00
With the nearest neighbours (Å) after each atom.
Atoms (fractional coordinates):
U (0.0000, 0.5000, 0.2487)  8 Si 3.16-3.26, 6 Pt 3.22-3.24, 2 V 3.24
U (0.5000, 0.0000, 0.7513)  8 Si 3.16-3.26, 6 Pt 3.22-3.24, 2 V 3.24
V (0.5000, 0.5000, 0.0000)  4 Si 2.49
Si (0.0000, 0.0000, 0.5000)  4 Pt 2.41
Si (0.0000, 0.5000, 0.8635)  3 Pt 2.40-2.49, 2 V 2.49
Si (0.5000, 0.0000, 0.1365)  3 Pt 2.40-2.49, 2 V 2.49
Si (0.5000, 0.5000, 0.5000)  4 Pt 2.41
Pt (0.0000, 0.0000, 0.0000)  4 Si 2.49
Pt (0.0000, 0.5000, 0.6220)  5 Si 2.40-2.41
Pt (0.5000, 0.0000, 0.3780)  5 Si 2.40-2.41

---

# NaLi2Eu

Crystalline NaLi2Eu at its relaxed geometry (PBE, Alexandria via LeMat-Bulk).

Polymorph energy (0 for the lowest one), kJ/mol of atoms: 5.2
Formation energy, eV per formula unit: 0.5

Lattice parameters (Å, degrees): 7.9995 7.9995 7.9995 90.00 90.00 90.00
With the nearest neighbours (Å) after each atom.
Atoms (fractional coordinates):
Na (0.0000, 0.0000, 0.0000)  8 Li 3.46
Na (0.0000, 0.5000, 0.5000)  8 Li 3.46
Na (0.5000, 0.0000, 0.5000)  8 Li 3.46
Na (0.5000, 0.5000, 0.0000)  8 Li 3.46
Li (0.2500, 0.2500, 0.2500)  4 Na 3.46, 4 Eu 3.46
Li (0.2500, 0.2500, 0.7500)  4 Na 3.46, 4 Eu 3.46
Li (0.2500, 0.7500, 0.2500)  4 Na 3.46, 4 Eu 3.46
Li (0.2500, 0.7500, 0.7500)  4 Na 3.46, 4 Eu 3.46
Li (0.7500, 0.2500, 0.2500)  4 Na 3.46, 4 Eu 3.46
Li (0.7500, 0.2500, 0.7500)  4 Na 3.46, 4 Eu 3.46
Li (0.7500, 0.7500, 0.2500)  4 Na 3.46, 4 Eu 3.46
Li (0.7500, 0.7500, 0.7500)  4 Eu 3.46, 4 Na 3.46
Eu (0.0000, 0.0000, 0.5000)  8 Li 3.46
Eu (0.0000, 0.5000, 0.0000)  8 Li 3.46
Eu (0.5000, 0.0000, 0.0000)  8 Li 3.46
Eu (0.5000, 0.5000, 0.5000)  8 Li 3.46

---

no.,calculated total energy (eV/f.u.),total magnetic moment (μB per cell)
1,-18.68,0.0
2,-17.20,0.0
3,-78.48,6.2
4,-14.89,29.9